Here is an optimized crystal structure of Ag2MoF7 from Alexandria. Energies are from GGA+U.

Cell: 7.2781 7.2781 9.0450 Å, 123.07 123.07 53.53°
Closest atoms and distances in Å follow each position.
Fractional coordinates of all 20 atoms:
1 Ag 0.1119 0.2687 0.2790  6 F 2.44-2.64
2 Ag 0.2687 0.1119 0.7790  6 F 2.44-2.64
3 Ag 0.7313 0.8881 0.2210  6 F 2.44-2.64
4 Ag 0.8881 0.7313 0.7210  6 F 2.44-2.64
5 Mo 0.3759 0.6241 0.2500  7 F 1.97-2.02
6 Mo 0.6241 0.3759 0.7500  7 F 1.97-2.02
7 F 0.0699 0.9301 0.2500  1 Mo 2.01
8 F 0.1333 0.5502 0.2275  1 Mo 2.02
9 F 0.2477 0.5871 0.9837  1 Mo 1.97
10 F 0.2666 0.5024 0.6385  1 Mo 1.98
11 F 0.4129 0.7523 0.5163  1 Mo 1.97
12 F 0.4498 0.8667 0.2725  1 Mo 2.02
13 F 0.4976 0.7334 0.8615  1 Mo 1.98
14 F 0.5024 0.2666 0.1385  1 Mo 1.98
15 F 0.5502 0.1333 0.7275  1 Mo 2.02
16 F 0.5871 0.2477 0.4837  1 Mo 1.97
17 F 0.7334 0.4976 0.3615  1 Mo 1.98
18 F 0.7523 0.4129 0.0163  1 Mo 1.97
19 F 0.8667 0.4498 0.7725  1 Mo 2.02
20 F 0.9301 0.0699 0.7500  1 Mo 2.01

Computed properties:
The raw total energy comes out at -44.4 eV per formula unit. As for the space-group type: No. 15.